# 1
4
Lattice="4.402 0.000 0.000 0.000 1.530 5.685 0.000 -1.530 5.685" Properties=species:S:1:pos:R:3 comment="ScZnCd2, single point on PBEsol structure, DFT SCAN" spacegroup=Amm2 formation_enthalpy_0k_ev_per_fu=-0.92 total_energy_ha_per_atom=-0.8223 pbc="T T T"
Sc 0.000 0.000 0.000
Zn 2.201 0.000 6.790
Cd 0.000 0.000 8.345
Cd 2.201 0.000 3.986



# 2
4
Lattice="0.000 3.241 3.241 3.241 0.000 3.241 3.241 3.241 0.000" Properties=species:S:1:pos:R:3 comment="ScZn2Cd, single point on PBEsol structure, DFT SCAN" spacegroup=F-43m formation_enthalpy_0k_ev_per_fu=-1.03 total_energy_ha_per_atom=-0.6680 pbc="T T T"
Sc 0.000 0.000 0.000
Zn 3.241 3.241 3.241
Zn 4.862 4.862 4.862
Cd 1.621 1.621 1.621



# 3
3
Lattice="4.539 0.000 0.000 -2.269 3.931 0.000 0.000 0.000 3.151" Properties=species:S:1:pos:R:3 comment="ScZnCd, single point on PBEsol structure, DFT SCAN" spacegroup=P-6m2 formation_enthalpy_0k_ev_per_fu=-1.11 total_energy_ha_per_atom=-0.7261 pbc="T T T"
Sc 0.000 0.000 0.000
Zn 2.269 1.310 1.576
Cd 0.000 2.621 1.576



# 4
4
Lattice="0.000 3.336 3.336 3.336 0.000 3.336 3.336 3.336 0.000" Properties=species:S:1:pos:R:3 comment="ScZnCd2, single point on PBEsol structure, DFT SCAN" spacegroup=F-43m formation_enthalpy_0k_ev_per_fu=-1.07 total_energy_ha_per_atom=-0.8236 pbc="T T T"
Sc 0.000 0.000 0.000
Zn 5.004 5.004 5.004
Cd 1.668 1.668 1.668
Cd 3.336 3.336 3.336



# 5
4
Lattice="4.305 0.000 0.000 0.000 4.305 0.000 0.000 0.000 3.795" Properties=species:S:1:pos:R:3 comment="ScZn2Cd, single point on PBEsol structure, DFT SCAN" spacegroup=P4/mmm formation_enthalpy_0k_ev_per_fu=-1.06 total_energy_ha_per_atom=-0.6683 pbc="T T T"
Sc 0.000 0.000 0.000
Zn 0.000 2.152 1.897
Zn 2.152 0.000 1.897
Cd 2.152 2.152 0.000



# 6
4
Lattice="3.102 0.000 0.000 0.000 3.102 0.000 0.000 0.000 7.874" Properties=species:S:1:pos:R:3 comment="ScZnCd2, single point on PBEsol structure, DFT SCAN" spacegroup=P4mm formation_enthalpy_0k_ev_per_fu=-0.90 total_energy_ha_per_atom=-0.8221 pbc="T T T"
Sc 0.000 0.000 0.000
Zn 1.551 1.551 1.812
Cd 0.000 0.000 3.599
Cd 1.551 1.551 5.715